No. 1
Here is an optimized crystal structure of KRbHgW2 from Alexandria via LeMat-Bulk. Energies are from PBE.

The space group is P4/mmm (123). For the density, the calculation gives 6.3 g/cm3. For the density of states at the Fermi level, the calculation gives 4.03 states/eV/cell. The formation enthalpy at 0 K is 1011 kJ/mol of formula units.

Cell: 5.409 6.201 5.409 Å, 90.00 90.00 90.00°
Fractional coordinates of all 5 atoms:
K  0.000  0.500  0.000
Rb  0.500  0.500  0.500
Hg  0.000  0.000  0.000
W  0.000  0.000  0.500
W  0.500  0.000  0.000

---

No. 2
Here is an optimized crystal structure of K2RbYHg from Alexandria via LeMat-Bulk. Energies are from PBE.

The space group is P4/mmm (123). For the density, the calculation gives 1.8 g/cm3. For the density of states at the Fermi level, the calculation gives 13.54 states/eV/cell. The formation enthalpy at 0 K is 370 kJ/mol of formula units.

Cell: 7.547 7.534 7.547 Å, 90.00 90.00 90.00°
Fractional coordinates of all 5 atoms:
Y  0.000  0.000  0.000
K  0.000  0.000  0.500
K  0.500  0.000  0.000
Hg  0.500  0.500  0.500
Rb  0.000  0.500  0.000

---

No. 3
Here is an optimized crystal structure of KRb2ZnHg from Alexandria via LeMat-Bulk. Energies are from PBE.

The space group is P4/mmm (123). For the density, the calculation gives 2.9 g/cm3. For the density of states at the Fermi level, the calculation gives 3.87 states/eV/cell. The formation enthalpy at 0 K is 19 kJ/mol of formula units. The energy above the most stable polymorph in this dataset is 0 kJ/mol of formula units.

Cell: 7.228 7.228 5.174 Å, 90.00 90.00 90.00°
Fractional coordinates of all 5 atoms:
K  0.500  0.500  0.500
Zn  0.000  0.000  0.500
Hg  0.000  0.000  0.000
Rb  0.000  0.500  0.000
Rb  0.500  0.000  0.000

---

No. 4
Here is an optimized crystal structure of KRbZnHg from Alexandria via LeMat-Bulk. Energies are from PBE.

The space group is F-43m (216). For the density, the calculation gives 4.0 g/cm3. For the density of states at the Fermi level, the calculation gives 2.32 states/eV/cell. The formation enthalpy at 0 K is 6 kJ/mol of formula units.

Cell: 6.117 6.117 6.117 Å, 60.00 60.00 60.00°
Fractional coordinates of all 4 atoms:
K  0.500  0.500  0.500
Zn  0.250  0.250  0.250
Hg  0.750  0.750  0.750
Rb  0.000  0.000  0.000

---

No. 5
Here is an optimized crystal structure of KRb2ZnHg from Alexandria via LeMat-Bulk. Energies are from PBE.

The space group is P4/mmm (123). For the density, the calculation gives 2.9 g/cm3. For the density of states at the Fermi level, the calculation gives 2.79 states/eV/cell. The formation enthalpy at 0 K is 25 kJ/mol of formula units. The energy above the most stable polymorph in this dataset is 5 kJ/mol of formula units.

Cell: 6.961 6.961 5.624 Å, 90.00 90.00 90.00°
Fractional coordinates of all 5 atoms:
K  0.500  0.500  0.500
Zn  0.000  0.000  0.000
Hg  0.000  0.000  0.500
Rb  0.000  0.500  0.000
Rb  0.500  0.000  0.000

---

No. 6
Here is an optimized crystal structure of KReHg from Alexandria via LeMat-Bulk. Energies are from PBE.

The space group is Fmm2 (42). For the density, the calculation gives 11.1 g/cm3. For the density of states at the Fermi level, the calculation gives 1.53 states/eV/cell. The formation enthalpy at 0 K is 299 kJ/mol of formula units. The energy above the most stable polymorph in this dataset is 0 kJ/mol of formula units.

Cell: 8.716 8.585 2.808 Å, 83.31 78.03 18.66°
Fractional coordinates of all 3 atoms:
Hg  0.011  0.011  0.989
K  0.329  0.329  0.671
Re  0.660  0.660  0.340

---

No. 7
Here is an optimized crystal structure of KReHg from Alexandria via LeMat-Bulk. Energies are from PBE.

The space group is Imm2 (44). For the density, the calculation gives 8.9 g/cm3. For the density of states at the Fermi level, the calculation gives 2.18 states/eV/cell. The formation enthalpy at 0 K is 305 kJ/mol of formula units. The energy above the most stable polymorph in this dataset is 7 kJ/mol of formula units.

Cell: 6.683 6.683 6.683 Å, 156.08 138.56 48.42°
Fractional coordinates of all 3 atoms:
Hg  0.058  0.058  0.000
K  0.334  0.334  0.000
Re  0.608  0.608  0.000

---

No. 8
Here is an optimized crystal structure of KRe2Hg from Alexandria via LeMat-Bulk. Energies are from PBE.

The space group is Cmmm (65). For the density, the calculation gives 13.2 g/cm3. For the density of states at the Fermi level, the calculation gives 3.87 states/eV/cell. The formation enthalpy at 0 K is 474 kJ/mol of formula units.

Cell: 2.767 2.767 10.913 Å, 90.00 90.00 112.94°
Fractional coordinates of all 4 atoms:
Hg  0.500  0.500  0.250
K  0.500  0.500  0.750
Re  0.000  0.000  0.024
Re  0.000  0.000  0.476